SeS: optimized geometry, PBE-GGA.

Formation energy (no corrections) in eV/atom: 0.045
ρ in g/cm3: 2.48
Distance to the lowest polymorph of the same formula in eV per atom: 0.000
Space group: P1 (1)
Calculated volume in Å³/cell: 148.39
Crystal system: triclinic

a b c (Å): 5.456 5.471 5.501
angles (deg): 87.25 87.86 64.79
Fractional coordinates of all 4 atoms:
Se 0.000 0.000 0.000
Se 0.197 0.201 0.717
S 0.307 0.716 0.261
S 0.484 0.897 0.461